The following is a DFT calculation (PBE) of a geometry-optimized CsTmCu2F8 structure.

POSCAR file:
```
CsTmCu2F8
1.0
2.848 1.644 7.757
-2.848 1.644 7.757
0.000 -3.288 7.757
Cs Tm Cu F
1 1 2 8
Direct
0.000 0.000 0.000
0.500 0.500 0.500
0.242 0.242 0.242
0.758 0.758 0.758
0.129 0.751 0.464
0.249 0.536 0.871
0.320 0.320 0.320
0.464 0.129 0.751
0.536 0.871 0.249
0.680 0.680 0.680
0.751 0.464 0.129
0.871 0.249 0.536
```

Output
formation energy (no corrections)	-2497	meV per atom
spin magnetization	2.0	μB/cell